6
Lattice="3.9486 0.0000 0.0000 0.0000 3.9486 0.0000 0.0000 0.0000 8.8194" Properties=species:S:1:pos:R:3 comment="PrNbS (GGA-PBE, relaxed)" spacegroup="No. 129" formation_energy_uncorrected_ev_per_atom=-1.05 magnetic_moment_mub_per_fu=0.00 n_ef_per_ev_cell=3.42 pbc="T T T"
Pr 1.9743 0.0000 6.0198
Pr 0.0000 1.9743 2.7996
S 0.0000 1.9743 5.7848
S 1.9743 0.0000 3.0347
Nb 1.9743 0.0000 0.4731
Nb 0.0000 1.9743 8.3463

***

15
Lattice="-1.1455 -4.9711 6.3084 -4.7298 -0.6188 -6.5639 8.4016 -2.9043 -0.7630" Properties=species:S:1:pos:R:3 comment="Pr3NbTl3S8 (GGA-PBE, relaxed)" spacegroup="No. 166" formation_energy_uncorrected_ev_per_atom=-1.29 magnetic_moment_mub_per_fu=0.98 n_ef_per_ev_cell=4.63 pbc="T T T"
Tl -2.9377 -2.7949 -0.1277
Tl -2.3649 -0.3094 -3.2819
Tl 0.0000 0.0000 0.0000
S 3.5602 -3.3386 -1.9847
S 1.5814 -4.8136 4.5957
S 2.2149 -2.0646 1.1073
S 0.3114 -6.4296 -2.1257
S -0.3558 -2.4772 -2.0170
S 0.9449 -3.6806 -5.6142
S 2.8821 -6.0169 0.9986
S -1.0340 -5.1555 0.9663
Pr 1.8359 -1.7616 -3.6634
Pr 1.2631 -4.2471 -0.5092
Pr 3.6280 -3.9377 2.7727
Nb 4.2008 -1.4521 -0.3815

***

20
Lattice="6.1448 0.0000 0.0000 0.0000 6.4647 0.0000 0.0000 0.0000 13.4042" Properties=species:S:1:pos:R:3 comment="PrNbSb3 (GGA-PBE, relaxed)" spacegroup="No. 57" formation_energy_uncorrected_ev_per_atom=-0.60 magnetic_moment_mub_per_fu=0.00 n_ef_per_ev_cell=8.18 pbc="T T T"
Sb 4.6086 5.7130 1.0020
Sb 1.5362 3.9840 1.0020
Sb 3.0724 4.8485 6.7233
Sb 4.6086 2.4806 12.4022
Sb 1.5362 6.4386 3.0187
Sb 1.5362 3.2062 10.3855
Sb 1.5362 0.7517 12.4022
Sb 4.6086 3.2584 3.0187
Sb 0.0000 1.6162 6.6809
Sb 0.0000 4.8485 6.7233
Sb 3.0724 1.6162 6.6809
Sb 4.6086 0.0261 10.3855
Pr 1.5362 0.0224 9.1958
Pr 1.5362 3.2547 4.2084
Pr 4.6086 6.4423 4.2084
Pr 4.6086 3.2099 9.1958
Nb 3.0724 1.6162 1.2489
Nb 3.0724 4.8485 12.1552
Nb 0.0000 1.6162 1.2489
Nb 0.0000 4.8485 12.1552

***

6
Lattice="-1.4180 -2.9205 0.6762 6.0210 -0.9371 0.4465 2.0825 0.9290 8.3795" Properties=species:S:1:pos:R:3 comment="PrNbSb (GGA-PBE, relaxed)" spacegroup="No. 12" formation_energy_uncorrected_ev_per_atom=-0.13 magnetic_moment_mub_per_fu=0.00 n_ef_per_ev_cell=8.40 pbc="T T T"
Sb 0.4282 -1.5568 2.3060
Sb 6.2574 -1.3719 7.1963
Pr 3.2794 -3.0058 2.0262
Pr 3.4062 0.0772 7.4760
Nb 4.6499 -1.1633 4.7264
Nb 2.0357 -1.7654 4.7758

***

8
Lattice="7.3017 0.0006 -0.0002 0.0008 7.3017 0.0000 -3.6510 -3.6509 4.0665" Properties=species:S:1:pos:R:3 comment="Pr2NbSe5 (GGA-PBE, relaxed)" spacegroup="No. 107" formation_energy_uncorrected_ev_per_atom=-1.16 magnetic_moment_mub_per_fu=0.00 n_ef_per_ev_cell=3.06 pbc="T T T"
Se 5.5184 1.7840 0.1095
Se 1.7841 5.5183 0.1096
Se 1.7827 1.7827 0.1118
Se 5.5196 5.5195 0.1118
Se 3.6512 3.6511 1.4484
Pr 3.6510 0.0006 2.3874
Pr 0.0006 3.6511 2.3874
Nb 3.6514 3.6513 3.7193

***

13
Lattice="6.2651 -0.0005 -3.3801 -4.0441 5.8585 -0.0004 0.4499 0.3112 8.3304" Properties=species:S:1:pos:R:3 comment="PrNb4Se8 (GGA-PBE, relaxed)" spacegroup="No. 166" formation_energy_uncorrected_ev_per_atom=-0.95 magnetic_moment_mub_per_fu=0.00 n_ef_per_ev_cell=4.48 pbc="T T T"
Se 3.2665 4.4909 -1.4424
Se -0.5957 1.6785 6.3922
Se -2.6864 4.7072 6.3920
Se 2.1183 1.4623 0.3053
Se 0.5525 4.7070 4.6445
Se 2.5339 1.7496 4.6966
Se 5.3573 1.4621 -1.4421
Se 0.1370 4.4197 0.2533
Nb 0.0000 0.0000 0.0000
Nb 3.1326 -0.0002 -1.6901
Nb 1.1105 2.9290 -1.6903
Nb -1.5722 3.2405 8.3302
Pr -1.7971 3.0849 4.1650

***

4
Lattice="3.5271 0.0000 0.0000 1.7636 3.0546 0.0000 1.7636 1.0182 9.4049" Properties=species:S:1:pos:R:3 comment="PrNbSe2 (GGA-PBE, relaxed)" spacegroup="No. 166" formation_energy_uncorrected_ev_per_atom=-0.66 magnetic_moment_mub_per_fu=0.53 n_ef_per_ev_cell=3.68 pbc="T T T"
Se 5.2907 3.0546 3.0099
Se 1.7636 1.0182 6.3950
Nb 3.5271 2.0364 4.7025
Pr 0.0000 0.0000 0.0000

***

15
Lattice="8.4030 0.0000 0.0000 -4.2015 7.2763 -0.0309 0.0000 -4.8203 7.8796" Properties=species:S:1:pos:R:3 comment="Pr3NbTl3Se8 (GGA-PBE, relaxed)" spacegroup="No. 166" formation_energy_uncorrected_ev_per_atom=-1.19 magnetic_moment_mub_per_fu=1.00 n_ef_per_ev_cell=4.70 pbc="T T T"
Se 0.0000 2.4334 2.2192
Se 4.2015 0.0226 5.6295
Se 1.8931 -1.3238 2.3636
Se 2.3084 3.7798 5.4852
Se 4.2015 2.6725 2.3467
Se 0.0000 -0.2164 5.5020
Se 6.5099 -1.3238 2.3636
Se -2.3084 3.7798 5.4852
Tl 2.1008 3.6382 -0.0154
Tl 0.0000 0.0000 0.0000
Tl -2.1008 3.6382 -0.0154
Pr 4.2015 -2.4101 3.9398
Pr 2.1008 1.2280 3.9244
Pr -2.1008 1.2280 3.9244
Nb 0.0000 -2.4101 3.9398

***

18
Lattice="-6.6739 -2.0630 0.9890 4.3297 -4.2599 3.8461 -0.5580 4.4903 5.6015" Properties=species:S:1:pos:R:3 comment="Pr2Nb3Si4 (GGA-PBE, relaxed)" spacegroup="No. 14" formation_energy_uncorrected_ev_per_atom=-0.72 magnetic_moment_mub_per_fu=0.00 n_ef_per_ev_cell=9.78 pbc="T T T"
Si -0.2486 -4.9781 4.3565
Si -0.5387 -1.2077 4.3819
Si -5.7586 0.2478 4.2467
Si -3.7366 -3.3581 3.4806
Si -2.3634 -0.6250 6.0547
Si 2.8565 -2.0805 6.1899
Si -2.6535 3.1455 6.0801
Si 0.8345 1.5254 6.9560
Nb -1.9946 -3.2351 5.4141
Nb -1.1721 -3.1615 2.4176
Nb 1.8859 0.1152 4.7238
Nb 1.4273 -2.8879 4.0660
Nb -0.9075 1.4024 5.0225
Nb -4.3294 1.0552 6.3707
Pr -3.1803 -1.6606 8.7207
Pr -3.1508 -0.4625 3.1349
Pr 0.2487 -1.3701 7.3017
Pr 0.2782 -0.1721 1.7160

***

6
Lattice="4.0427 0.0000 0.0000 0.0000 4.0427 0.0000 -2.0214 -2.0214 8.2575" Properties=species:S:1:pos:R:3 comment="PrNbSi (GGA-PBE, relaxed)" spacegroup="No. 139" formation_energy_uncorrected_ev_per_atom=-0.53 magnetic_moment_mub_per_fu=0.33 n_ef_per_ev_cell=5.78 pbc="T T T"
Nb 2.0214 0.0000 0.0000
Nb 0.0000 2.0214 0.0000
Pr 0.0000 0.0000 5.3654
Pr 2.0214 2.0214 2.8921
Si 2.0214 2.0214 6.3756
Si 0.0000 0.0000 1.8819

***

6
Lattice="4.0603 0.0000 0.0000 0.0000 4.0603 0.0000 0.0000 0.0000 8.2429" Properties=species:S:1:pos:R:3 comment="PrNbSi (GGA-PBE, relaxed)" spacegroup="No. 129" formation_energy_uncorrected_ev_per_atom=-0.56 magnetic_moment_mub_per_fu=0.33 n_ef_per_ev_cell=4.74 pbc="T T T"
Pr 1.0151 1.0151 5.3500
Pr 3.0452 3.0452 2.8929
Si 3.0452 3.0452 6.4270
Si 1.0151 1.0151 1.8159
Nb 3.0452 1.0151 0.0000
Nb 1.0151 3.0452 0.0000

***

10
Lattice="4.0231 0.0000 0.0000 0.0000 7.9757 -0.5008 -2.0116 -1.6573 8.7825" Properties=species:S:1:pos:R:3 comment="Pr5NbSi4 (GGA-PBE, relaxed)" spacegroup="No. 12" formation_energy_uncorrected_ev_per_atom=-0.34 magnetic_moment_mub_per_fu=0.00 n_ef_per_ev_cell=9.32 pbc="T T T"
Pr 2.0116 0.2632 5.6612
Pr 0.0000 2.2590 2.6854
Pr 2.0116 3.9879 -0.2504
Pr 0.0000 6.0552 2.6205
Pr 2.0116 4.0594 5.5963
Si 2.0116 0.1595 2.6624
Si 2.0116 0.0757 8.6149
Si 0.0000 6.1589 5.6193
Si 0.0000 6.2427 -0.3332
Nb 2.0116 0.0000 0.0000